No. 1
Entry from Alexandria via LeMat-Bulk: Ca3NbAu after structural relaxation (PBE).

Unit cell a=5.4373 b=5.4373 c=5.4373 alpha=90.00 beta=90.00 gamma=90.00
Space group Pm-3m (No. 221)
One atom of each set of equivalent atoms:
Ca 0.0000 0.0000 0.5000 x3
Nb 0.0000 0.0000 0.0000 x1
Au 0.5000 0.5000 0.5000 x1

Values from the calculation:
DOS(E_F) in states/eV per atom: 0.708
Energy relative to the elements in meV/atom: 858
Offset from the most stable computed form in meV per atom: 440
Total magnetization in μB per formula unit: 0.0

***

No. 2
Entry from Alexandria via LeMat-Bulk: Ca2NbNiAu after structural relaxation (PBE).

Unit cell a=5.1337 b=5.1337 c=4.8415 alpha=90.00 beta=90.00 gamma=90.00
Space group P4/mmm (No. 123)
One atom of each set of equivalent atoms:
Ca 0.0000 0.5000 0.0000 x2
Nb 0.0000 0.0000 0.5000 x1
Ni 0.5000 0.5000 0.0000 x1
Au 0.5000 0.5000 0.5000 x1

Values from the calculation:
DOS(E_F) in states/eV per atom: 0.714
Energy relative to the elements in meV/atom: 577
Total magnetization in μB per formula unit: 4.0

***

No. 3
Entry from Alexandria via LeMat-Bulk: CaNb2TeAu after structural relaxation (PBE).

Unit cell a=4.9764 b=4.9764 c=5.0801 alpha=90.00 beta=90.00 gamma=90.00
Space group P4/mmm (No. 123)
One atom of each set of equivalent atoms:
Ca 0.0000 0.0000 0.0000 x1
Nb 0.0000 0.5000 0.0000 x2
Te 0.5000 0.5000 0.5000 x1
Au 0.0000 0.0000 0.5000 x1

Values from the calculation:
Formation energy without anion corrections in eV per formula unit: 8.9
DOS(E_F) in states/eV per atom: 1.349
Total magnetization in μB per formula unit: 0.0

***

No. 4
Entry from Alexandria via LeMat-Bulk: CaTi2NbAu after structural relaxation (PBE).

Unit cell a=4.7356 b=4.7356 c=5.4468 alpha=90.00 beta=90.00 gamma=90.00
Space group P4/mmm (No. 123)
One atom of each set of equivalent atoms:
Ca 0.0000 0.0000 0.0000 x1
Ti 0.0000 0.5000 0.5000 x2
Nb 0.5000 0.5000 0.5000 x1
Au 0.5000 0.5000 0.0000 x1

Values from the calculation:
DOS(E_F) in states/eV per atom: 1.199
Energy relative to the elements in meV/atom: 471
Total magnetization in μB per formula unit: 0.0

***

No. 5
Entry from Alexandria via LeMat-Bulk: CaNb2TlAu after structural relaxation (PBE).

Unit cell a=5.0764 b=5.0764 c=5.4023 alpha=90.00 beta=90.00 gamma=90.00
Space group P4/mmm (No. 123)
One atom of each set of equivalent atoms:
Ca 0.0000 0.0000 0.0000 x1
Nb 0.0000 0.5000 0.5000 x2
Tl 0.5000 0.5000 0.0000 x1
Au 0.0000 0.0000 0.5000 x1

Values from the calculation:
DOS(E_F) in states/eV per atom: 1.103
Energy relative to the elements in meV/atom: 912
Total magnetization in μB per formula unit: 1.1

***

No. 6
Entry from Alexandria via LeMat-Bulk: CaNd2Au6 after structural relaxation (PBE).

Unit cell a=8.2485 b=8.2485 c=3.5888 alpha=90.00 beta=90.00 gamma=120.00
Space group P6/mmm (No. 191)
One atom of each set of equivalent atoms:
Ca 0.0000 0.0000 0.0000 x1
Nd 0.3333 0.6667 0.0000 x2
Au 0.0000 0.3325 0.5000 x6

Values from the calculation:
DOS(E_F) in states/eV per atom: 0.550
Energy relative to the elements in meV/atom: -734
Total magnetization in μB per formula unit: 0.0

***

No. 7
Entry from Alexandria via LeMat-Bulk: CaNd4Au4 after structural relaxation (PBE).

Unit cell a=9.5208 b=9.5208 c=6.0454 alpha=90.00 beta=90.00 gamma=90.00
Space group P4_2/n (No. 86, origin choice 2)
One atom of each set of equivalent atoms:
Ca 0.2500 0.2500 0.2500 x2
Nd 0.0664 0.6588 0.1627 x8
Au 0.0324 0.6301 0.6589 x8

Values from the calculation:
DOS(E_F) in states/eV per atom: 0.947
Energy relative to the elements in meV/atom: -586
Total magnetization in μB per formula unit: 0.0

***

No. 8
Entry from Alexandria via LeMat-Bulk: CaNdAu after structural relaxation (PBE).

Unit cell a=7.7306 b=7.7306 c=4.9936 alpha=90.00 beta=90.00 gamma=120.00
Space group P-62m (No. 189)
One atom of each set of equivalent atoms:
Ca 0.0000 0.2587 0.0000 x3
Nd 0.0000 0.5924 0.5000 x3
Au 0.0000 0.0000 0.5000 x1
Au 0.3333 0.6667 0.0000 x2

Values from the calculation:
DOS(E_F) in states/eV per atom: 1.214
Energy relative to the elements in meV/atom: -511
Offset from the most stable computed form in meV per atom: 9
Total magnetization in μB per formula unit: 0.0